Entry 1:
KSi4Au | PBE | relaxed

Summary:
energy relative to the elements, uncorrected	472	meV per atom
density of states at the Fermi level	0.423	states/eV/atom
total DFT energy (no corrections)	-3.87	eV/atom
volume	450	Å³/cell

Cell: 7.663 7.663 7.663 Å, 90.00 90.00 90.00°
Space group F-43m (No. 216)
Unique sites:
K  0.000  0.000  0.000 [4 per cell]
Si  0.123  0.123  0.623 [16 per cell]
Au  0.250  0.250  0.250 [4 per cell]

***

Entry 2:
LaTiS3 | PBE | relaxed

Summary:
energy relative to the elements, uncorrected	-1730	meV per atom
density of states at the Fermi level	0.271	states/eV/atom
total DFT energy (no corrections)	-6.77	eV/atom
volume	216	Å³/cell

Cell: 4.756 4.727 9.874 Å, 90.00 103.32 90.00°
Space group P2_1/m (No. 11)
Unique sites:
La  0.141  0.250  0.320 [2 per cell]
Ti  0.441  0.250  0.878 [2 per cell]
S  0.065  0.750  0.134 [2 per cell]
S  0.295  0.250  0.611 [2 per cell]
S  0.442  0.750  0.863 [2 per cell]

***

Entry 3:
HgH2Au2 | PBE | relaxed

Summary:
density of states at the Fermi level	0.208	states/eV/atom
total DFT energy (no corrections)	-2.33	eV/atom
relative energy among the computed polymorphs	271	meV per atom
volume	137	Å³/cell

Cell: 3.244 3.244 12.991 Å, 90.00 90.00 90.00°
Space group I4/mmm (No. 139)
Unique sites:
Hg  0.000  0.000  0.000 [2 per cell]
H  0.000  0.500  0.250 [4 per cell]
Au  0.000  0.000  0.343 [4 per cell]

***

Entry 4:
Sr3Hg2Bi | PBE | relaxed

Summary:
density of states at the Fermi level	0.674	states/eV/atom
formation energy from the elements	-0.640	eV per atom
total DFT energy (no corrections)	-2.23	eV/atom
volume	403	Å³/cell

Cell: 5.536 16.913 4.303 Å, 90.00 90.00 90.00°
Space group Cmmm (No. 65)
Unique sites:
Sr  0.000  0.000  0.000 [2 per cell]
Sr  0.000  0.335  0.000 [4 per cell]
Hg  0.000  0.173  0.500 [4 per cell]
Bi  0.000  0.500  0.500 [2 per cell]